No. 1
Density functional theory data (PBE-GGA) for a geometry-optimized LiPmPr2Tl4 structure.

Cell lengths 5.3688, 5.3688, 27.4000 Å; angles 90.00, 90.00, 120.00 degrees
Space group R-3m (No. 166, hexagonal axes)
Unique sites:
Li (0.0000, 0.0000, 0.0000)
Pm (0.0000, 0.0000, 0.5000)
Pr (0.0000, 0.0000, 0.2565)
Tl (0.0000, 0.0000, 0.1244)
Tl (0.0000, 0.0000, 0.3738)

ρ in g cm⁻³: 9.113
DFT formation energy in eV per atom: -0.357

***

No. 2
Density functional theory data (PBE-GGA) for a geometry-optimized LiPmPrY structure.

Cell lengths 7.9463, 7.9463, 7.9463 Å; angles 90.00, 90.00, 90.00 degrees
Space group F-43m (No. 216)
Unique sites:
Li (0.0000, 0.0000, 0.0000)
Pm (0.2500, 0.2500, 0.7500)
Pr (0.2500, 0.2500, 0.2500)
Y (0.0000, 0.0000, 0.5000)

ρ in g cm⁻³: 5.054
DFT formation energy in eV per atom: 0.173
Offset from the most stable computed form in meV per atom: 0

***

No. 3
Density functional theory data (PBE-GGA) for a geometry-optimized Li3Pm2Pt2 structure.

Cell lengths 10.2914, 4.1045, 7.1568 Å; angles 90.00, 99.24, 90.00 degrees
Space group C2/m (No. 12)
Unique sites:
Li (0.0000, 0.0000, 0.0000)
Li (0.1907, 0.5000, 0.8861)
Pm (0.1187, 0.5000, 0.3582)
Pt (0.1015, 0.0000, 0.6682)

ρ in g cm⁻³: 7.802
DFT formation energy in eV per atom: -0.644
Offset from the most stable computed form in meV per atom: 10